Material: Na2Hg2Au
Method: DFT, PBE
State: relaxed

Cell and atoms, written as POSCAR:
```
Na2Hg2Au
1.0
4.211 0.000 0.000
0.000 4.211 0.000
2.105 2.105 7.162
Hg Na Au
2 2 1
direct
0.598 0.598 0.803
0.402 0.402 0.197
0.750 0.250 0.500
0.250 0.750 0.500
0.000 0.000 0.000
```

Computed properties:
ρ   8.42 g cm⁻³
Energy of formation from the pure elements   0.16 eV/f.u.
N(E_F)   1.67 states/eV/f.u.
Crystal system   tetragonal
E   -1.27 eV/atom
Relative energy among the computed polymorphs   0.276 eV per atom